(1)
5
Lattice="-0.530 4.401 0.597 -0.455 -0.652 4.401 7.118 -1.183 -1.712" Properties=species:S:1:pos:R:3 comment="Hf2AgPb2 (PBE, relaxed)" sg="I4/mmm (139)" polymorph_energy_kj_per_mol_atoms=0.9 pbc="T T T"
Ag 0.000 0.000 0.000
Hf 3.048 2.546 0.692
Hf 3.086 0.019 2.594
Pb 5.226 0.545 0.621
Pb 0.908 2.020 2.666

=====

(2)
3
Lattice="0.000 3.137 3.137 3.137 0.000 3.137 3.137 3.137 0.000" Properties=species:S:1:pos:R:3 comment="HfAgPd (PBE, relaxed)" sg="F-43m (216)" formation_enthalpy_0k_ev_per_atom=-0.11 polymorph_energy_kj_per_mol_atoms=37.7 pbc="T T T"
Pd 0.000 0.000 0.000
Ag 1.568 1.568 1.568
Hf 4.705 4.705 4.705

=====

(3)
6
Lattice="3.248 0.000 0.000 0.000 3.248 0.000 0.000 0.000 11.384" Properties=species:S:1:pos:R:3 comment="Hf4AgPd (PBE, relaxed)" sg="P4/mmm (123)" formation_enthalpy_0k_ev_per_atom=-0.32 pbc="T T T"
Hf 1.624 1.624 3.752
Hf 1.624 1.624 7.631
Hf 0.000 0.000 9.637
Hf 0.000 0.000 1.746
Ag 0.000 0.000 5.692
Pd 1.624 1.624 0.000